The following is a PBE calculation of CsTbNiTe3 after structural relaxation, from OQMD.

Properties
* SG: No. 62
* E_tot: -4.312 eV per atom
* total magnetic moment: 1.411 μB/f.u.

Cell: 11.487 4.296 17.070 Å, 90.00 90.00 90.00°
Fractional coordinates of all 24 atoms:
1 Cs 0.247 0.250 0.010
2 Cs 0.253 0.750 0.510
3 Cs 0.747 0.250 0.490
4 Cs 0.753 0.750 0.990
5 Tb 0.001 0.750 0.251
6 Tb 0.499 0.250 0.751
7 Tb 0.501 0.750 0.249
8 Tb 0.999 0.250 0.749
9 Ni 0.249 0.750 0.782
10 Ni 0.251 0.250 0.282
11 Ni 0.749 0.750 0.718
12 Ni 0.751 0.250 0.218
13 Te 0.066 0.750 0.870
14 Te 0.070 0.250 0.371
15 Te 0.249 0.250 0.695
16 Te 0.251 0.750 0.195
17 Te 0.430 0.750 0.871
18 Te 0.434 0.250 0.370
19 Te 0.566 0.750 0.630
20 Te 0.570 0.250 0.129
21 Te 0.749 0.250 0.805
22 Te 0.751 0.750 0.305
23 Te 0.930 0.750 0.629
24 Te 0.934 0.250 0.130